Entry 1:
VASP calculation (PBE-GGA) on crystalline BaHo4S6 at its relaxed geometry. Values from VASP.

Output
calculated density	6.3	Mg/m³
uncorrected formation energy	-2060	meV/atom

```
&SYSTEM
  ibrav = 0, nat = 22, ntyp = 3
/
ATOMIC_SPECIES
S 32.06 S.upf
Ho 164.93 Ho.upf
Ba 137.33 Ba.upf
ATOMIC_POSITIONS angstrom
S -7.929 -16.766 3.609
S -6.712 -13.152 4.882
S -0.571 0.654 1.787
Ho -6.914 -6.132 0.038
Ho -5.516 -1.460 -1.227
Ba -3.862 -3.707 2.333
Ho -5.253 -10.963 4.546
S -3.397 -8.795 4.345
Ho -7.934 -8.707 2.864
S -9.759 -10.669 2.999
S -6.060 -10.517 1.917
S -1.336 -2.846 0.615
Ho -6.650 -15.636 5.811
S -2.407 -6.427 1.585
S -4.238 -0.329 0.976
Ho -10.314 -16.664 5.018
Ba -8.305 -13.388 2.251
Ho -1.853 -0.431 -0.434
S -6.107 -6.578 2.668
S -10.830 -14.250 3.969
Ho -4.232 -8.388 1.721
S -5.455 -3.943 -0.298
CELL_PARAMETERS angstrom
-1.141 1.309 3.574
-5.373 0.495 -4.106
-5.652 -18.899 5.117
```

---

Entry 2:
VASP calculation (PBE-GGA) on crystalline Pa3Ni3Bi4 at its relaxed geometry. Values from VASP.

Output
calculated density	12.6	Mg/m³
formation energy from the elements	-0.3439	eV/atom

```
&SYSTEM
  ibrav = 0, nat = 20, ntyp = 3
/
ATOMIC_SPECIES
Bi 208.98 Bi.upf
Pa 231.04 Pa.upf
Ni 58.69 Ni.upf
ATOMIC_POSITIONS angstrom
Bi -4.946 -4.686 1.356
Pa 1.305 -2.354 0.195
Bi 3.722 -0.965 -1.624
Bi -0.520 -2.956 -2.555
Pa -1.873 -2.739 -5.589
Bi 0.242 -0.285 -4.826
Bi 1.002 -5.556 1.152
Pa 5.775 -2.982 0.047
Ni -0.930 -4.246 -0.214
Ni 5.024 -3.017 -2.812
Ni 0.178 -4.612 -4.576
Ni 3.357 -4.227 1.207
Ni -4.291 -3.984 -4.429
Pa -3.540 -3.949 -1.570
Bi -1.969 -1.865 0.540
Ni 1.113 -0.813 -2.320
Pa 2.413 -2.720 -4.167
Bi 3.712 -0.071 -5.708
Pa 0.371 -6.153 -2.061
Bi 3.208 -4.513 -1.478
CELL_PARAMETERS angstrom
-0.019 1.788 -8.168
7.455 -3.113 2.155
-5.953 -5.640 1.632
```

---

Entry 3:
VASP calculation (PBE-GGA) on crystalline Ac2TmZn3 at its relaxed geometry. Values from VASP.

Output
calculated density	8.4	Mg/m³
formation energy from the elements	-0.2468	eV/atom

```
&SYSTEM
  ibrav = 0, nat = 6, ntyp = 3
/
ATOMIC_SPECIES
Zn 65.41 Zn.upf
Ac 227.00 Ac.upf
Tm 168.93 Tm.upf
ATOMIC_POSITIONS angstrom
Zn 3.875 1.426 0.913
Ac 7.649 4.578 4.063
Ac 0.893 2.091 2.471
Zn 6.652 2.448 1.567
Tm 4.271 3.335 3.267
Zn 0.000 0.000 0.000
CELL_PARAMETERS angstrom
-1.374 3.469 0.411
-0.610 -0.674 3.642
10.526 3.875 2.480
```

---

Entry 4:
VASP calculation (PBE-GGA) on crystalline MgPaAl2Pt4 at its relaxed geometry. Values from VASP.

Output
calculated density	13.2	Mg/m³
formation energy from the elements	-0.9912	eV/atom

```
&SYSTEM
  ibrav = 0, nat = 8, ntyp = 4
/
ATOMIC_SPECIES
Al 26.98 Al.upf
Pt 195.08 Pt.upf
Pa 231.04 Pa.upf
Mg 24.30 Mg.upf
ATOMIC_POSITIONS angstrom
Al -2.842 -1.069 -1.690
Pt -2.509 -2.147 -4.056
Pt -4.658 -3.218 -5.894
Pa 0.000 0.000 0.000
Pt -5.574 -1.061 -1.108
Al -7.390 -3.210 -5.312
Pt -7.723 -2.132 -2.946
Mg -5.116 -2.140 -3.501
CELL_PARAMETERS angstrom
-0.894 0.330 -4.205
-0.517 -3.558 -2.380
-8.821 -1.051 -0.417
```

---

Entry 5:
VASP calculation (PBE-GGA) on crystalline TaPb2Se at its relaxed geometry. Values from VASP.

Output
calculated density	10.8	Mg/m³
uncorrected formation energy	200	meV/atom

```
&SYSTEM
  ibrav = 0, nat = 4, ntyp = 3
/
ATOMIC_SPECIES
Se 78.96 Se.upf
Ta 180.95 Ta.upf
Pb 207.20 Pb.upf
ATOMIC_POSITIONS angstrom
Se -0.879 -5.466 11.664
Ta -0.293 -1.822 3.888
Pb -0.945 -3.639 8.724
Pb -2.872 -3.614 13.798
CELL_PARAMETERS angstrom
-0.313 -0.968 7.863
-2.918 -2.642 6.883
2.059 -3.677 0.806
```

---

Entry 6:
VASP calculation (PBE-GGA) on crystalline YZrRe2 at its relaxed geometry. Values from VASP.

Output
calculated density	11.9	Mg/m³
polymorph energy (0 for the lowest one)	0.167	eV/atom
formation energy from the elements	0.1722	eV/atom

```
&SYSTEM
  ibrav = 0, nat = 4, ntyp = 3
/
ATOMIC_SPECIES
Y 88.91 Y.upf
Re 186.21 Re.upf
Zr 91.22 Zr.upf
ATOMIC_POSITIONS angstrom
Y -1.428 -2.177 -1.344
Re -5.238 -3.372 2.465
Re -2.817 -1.814 1.326
Zr -4.113 -3.905 -0.081
CELL_PARAMETERS angstrom
-1.562 0.264 -2.959
1.393 -2.888 -0.993
-5.370 -3.457 2.527
```

---

Entry 7:
VASP calculation (PBE-GGA) on crystalline Ba7P3N at its relaxed geometry. Values from VASP.

Output
calculated density	4.5	Mg/m³
uncorrected formation energy	-734	meV/atom

```
&SYSTEM
  ibrav = 0, nat = 22, ntyp = 3
/
ATOMIC_SPECIES
Ba 137.33 Ba.upf
P 30.97 P.upf
N 14.01 N.upf
ATOMIC_POSITIONS angstrom
Ba 7.441 1.009 8.131
Ba 2.332 6.706 10.412
P 0.000 0.000 5.421
Ba -1.616 7.333 8.131
N 2.812 4.026 5.421
Ba 0.131 3.554 4.991
Ba 2.332 6.706 5.850
Ba 3.291 1.347 0.429
Ba 3.262 4.671 2.710
P 1.312 7.284 2.710
N 2.812 4.026 0.000
P 0.000 0.000 0.000
P 6.387 3.741 2.710
Ba 0.131 3.554 0.429
P -0.764 4.312 8.131
Ba 2.362 3.382 8.131
Ba 5.492 4.499 10.412
Ba -1.818 7.043 2.710
Ba 7.239 0.719 2.710
P 4.311 0.768 8.131
Ba 3.291 1.347 4.991
Ba 5.492 4.499 5.850
CELL_PARAMETERS angstrom
8.950 -0.260 0.000
-3.327 8.313 0.000
0.000 0.000 10.841
```

---

Entry 8:
VASP calculation (PBE-GGA) on crystalline YH8Pd4Pt at its relaxed geometry. Values from VASP.

Output
calculated density	8.7	Mg/m³
final energy	-62.619	eV for the cell shown

```
&SYSTEM
  ibrav = 0, nat = 14, ntyp = 4
/
ATOMIC_SPECIES
H 1.01 H.upf
Pt 195.08 Pt.upf
Pd 106.42 Pd.upf
Y 88.91 Y.upf
ATOMIC_POSITIONS angstrom
H -7.083 -3.576 3.377
Pt -9.233 -3.689 -0.584
Pd -8.386 -4.053 2.123
H -4.801 -0.808 3.035
H -8.016 -2.839 0.585
H -4.980 -3.230 1.217
H -6.037 -0.439 0.289
H -9.794 -2.828 2.643
Pd -9.343 -1.525 1.282
H -3.343 -0.823 1.329
Pd -11.136 -3.699 1.550
H -8.301 -0.357 2.306
Y -6.848 -1.397 3.592
Pd -6.247 -2.319 0.137
CELL_PARAMETERS angstrom
-5.586 0.719 -1.162
-3.642 -4.417 0.545
-3.864 -0.023 4.328
```

---

Entry 9:
VASP calculation (PBE-GGA) on crystalline HfCd2Ga2 at its relaxed geometry. Values from VASP.

Output
calculated density	9.0	Mg/m³
polymorph energy (0 for the lowest one)	0.039	eV/atom
formation energy from the elements	0.0853	eV/atom

```
&SYSTEM
  ibrav = 0, nat = 5, ntyp = 3
/
ATOMIC_SPECIES
Ga 69.72 Ga.upf
Cd 112.41 Cd.upf
Hf 178.49 Hf.upf
ATOMIC_POSITIONS angstrom
Ga 2.014 2.014 1.176
Cd 4.028 2.014 3.070
Cd 2.014 4.028 3.070
Ga 4.028 4.028 4.964
Hf 0.000 0.000 0.000
CELL_PARAMETERS angstrom
4.028 0.000 0.000
0.000 4.028 0.000
2.014 2.014 6.140
```

---

Entry 10:
VASP calculation (PBE-GGA) on crystalline PmSm2Er2Th2 at its relaxed geometry. Values from VASP.

Output
calculated density	8.9	Mg/m³
formation energy from the elements	0.1747	eV/atom

```
&SYSTEM
  ibrav = 0, nat = 7, ntyp = 4
/
ATOMIC_SPECIES
Sm 150.36 Sm.upf
Th 232.04 Th.upf
Er 167.26 Er.upf
Pm 145.00 Pm.upf
ATOMIC_POSITIONS angstrom
Sm 7.237 -9.059 0.166
Th 4.364 -7.329 -0.266
Th 2.261 -5.042 -2.188
Er 1.001 -3.319 0.592
Pm 4.612 -3.788 0.000
Sm -0.612 -3.312 -2.621
Er 5.624 -9.052 -3.046
CELL_PARAMETERS angstrom
-1.454 -1.771 2.577
-1.145 -3.024 -5.031
9.224 -7.576 -0.001
```

---

Entry 11:
VASP calculation (PBE-GGA) on crystalline YTcMo4 at its relaxed geometry. Values from VASP.

Output
calculated density	8.8	Mg/m³
formation energy from the elements	0.2672	eV/atom

```
&SYSTEM
  ibrav = 0, nat = 6, ntyp = 3
/
ATOMIC_SPECIES
Mo 95.94 Mo.upf
Y 88.91 Y.upf
Tc 98.00 Tc.upf
ATOMIC_POSITIONS angstrom
Mo -2.892 -5.017 4.347
Y 0.000 0.000 0.000
Mo -1.371 -3.685 6.081
Mo -0.305 -5.605 4.575
Tc -2.109 -6.604 6.925
Mo -1.055 -3.303 3.464
CELL_PARAMETERS angstrom
1.502 -4.609 2.224
-0.634 -0.764 5.241
-3.680 -3.432 1.769
```

---

Entry 12:
VASP calculation (PBE-GGA) on crystalline MnRe2Hg at its relaxed geometry. Values from VASP.

Output
calculated density	16.1	Mg/m³
formation energy from the elements	0.4787	eV/atom

```
&SYSTEM
  ibrav = 0, nat = 4, ntyp = 3
/
ATOMIC_SPECIES
Hg 200.59 Hg.upf
Re 186.21 Re.upf
Mn 54.94 Mn.upf
ATOMIC_POSITIONS angstrom
Hg 0.000 0.000 4.630
Re 0.879 1.300 2.052
Mn 0.879 1.300 6.990
Re 0.000 0.000 8.992
CELL_PARAMETERS angstrom
2.760 0.028 0.000
-1.001 2.572 0.000
0.000 0.000 9.066
```